[1]
{"formula": "Th3Fe7Cu2", "functional": "PBE", "state": "relaxed", "lattice": [[2.5576, 1.4766, 8.4646], [-2.5576, 1.4766, 8.4646], [0.0000, -2.9532, 8.4646]], "species": ["Th", "Th", "Th", "Fe", "Fe", "Fe", "Fe", "Fe", "Fe", "Fe", "Cu", "Cu"], "fractional_positions": [[0.0000, 0.0000, 0.0000], [0.1388, 0.1388, 0.1388], [0.8612, 0.8612, 0.8612], [0.0823, 0.5824, 0.5824], [0.4176, 0.4176, 0.9177], [0.4176, 0.9177, 0.4176], [0.5000, 0.5000, 0.5000], [0.5824, 0.0823, 0.5824], [0.5824, 0.5824, 0.0823], [0.9177, 0.4176, 0.4176], [0.3332, 0.3332, 0.3332], [0.6668, 0.6668, 0.6668]], "energy_ev_per_atom": -7.530}

---

[2]
{"formula": "Ca3TaSi", "functional": "PBE", "state": "relaxed", "lattice": [[5.5776, 0.0000, 0.0000], [0.0000, 5.5776, 0.0000], [0.0000, 0.0000, 5.5776]], "species": ["Ca", "Ca", "Ca", "Ta", "Si"], "fractional_positions": [[0.0000, 0.0000, 0.5000], [0.0000, 0.5000, 0.0000], [0.5000, 0.0000, 0.0000], [0.5000, 0.5000, 0.5000], [0.0000, 0.0000, 0.0000]], "formation_energy_uncorrected_kj_per_mol_atoms": 78.9}

---

[3]
{"formula": "YLuAl", "functional": "PBE", "state": "relaxed", "lattice": [[5.0237, 0.0000, 0.0000], [-2.5118, 4.3506, 0.0000], [0.0000, 0.0000, 3.5462]], "species": ["Y", "Lu", "Al"], "fractional_positions": [[0.0000, 0.0000, 0.0000], [0.6667, 0.3333, 0.5566], [0.3333, 0.6667, 0.3243]], "energy_ev_per_atom": -5.065}

---

[4]
{"formula": "Nd4Te3I", "functional": "PBE", "state": "relaxed", "lattice": [[2.2757, 1.3139, 14.5904], [-2.2757, 1.3139, 14.5904], [0.0000, -2.6278, 14.5904]], "species": ["Nd", "Nd", "Nd", "Nd", "Te", "Te", "Te", "I"], "fractional_positions": [[0.1188, 0.1188, 0.1188], [0.3767, 0.3767, 0.3767], [0.6233, 0.6233, 0.6233], [0.8812, 0.8812, 0.8812], [0.0000, 0.0000, 0.0000], [0.2514, 0.2514, 0.2514], [0.7486, 0.7486, 0.7486], [0.5000, 0.5000, 0.5000]], "formation_energy_uncorrected_kj_per_mol_atoms": -120.5}

---

[5]
{"formula": "YTlAs4", "functional": "PBE", "state": "relaxed", "lattice": [[0.0000, 4.0710, 4.0710], [4.0710, 0.0000, 4.0710], [4.0710, 4.0710, 0.0000]], "species": ["Y", "Tl", "As", "As", "As", "As"], "fractional_positions": [[0.0000, 0.0000, 0.0000], [0.2500, 0.2500, 0.2500], [0.1275, 0.6242, 0.6242], [0.6242, 0.1275, 0.6242], [0.6242, 0.6242, 0.1275], [0.6242, 0.6242, 0.6242]], "energy_ev_per_atom": -4.696}

---

[6]
{"formula": "CrIn2Pt", "functional": "PBE", "state": "relaxed", "lattice": [[7.6571, 0.0000, 0.0000], [0.0000, 7.6571, 0.0000], [0.0000, 0.0000, 5.7667]], "species": ["Cr", "Cr", "Cr", "Cr", "In", "In", "In", "In", "In", "In", "In", "In", "Pt", "Pt", "Pt", "Pt"], "fractional_positions": [[0.0000, 0.0000, 0.0000], [0.0000, 0.5000, 0.2500], [0.5000, 0.0000, 0.7500], [0.5000, 0.5000, 0.5000], [0.2287, 0.2500, 0.6250], [0.2500, 0.7287, 0.8750], [0.2500, 0.7713, 0.3750], [0.2713, 0.2500, 0.1250], [0.7287, 0.7500, 0.1250], [0.7500, 0.2287, 0.3750], [0.7500, 0.2713, 0.8750], [0.7713, 0.7500, 0.6250], [0.0000, 0.0000, 0.5000], [0.0000, 0.5000, 0.7500], [0.5000, 0.0000, 0.2500], [0.5000, 0.5000, 0.0000]], "energy_ev_per_atom": -5.087}

---

[7]
{"formula": "RbNaTe3", "functional": "PBE", "state": "relaxed", "lattice": [[5.7200, 0.0000, 0.0000], [0.0000, 5.7200, 0.0000], [0.0000, 0.0000, 5.7200]], "species": ["Rb", "Na", "Te", "Te", "Te"], "fractional_positions": [[0.0000, 0.0000, 0.0000], [0.5000, 0.5000, 0.5000], [0.0000, 0.5000, 0.5000], [0.5000, 0.0000, 0.5000], [0.5000, 0.5000, 0.0000]], "formation_energy_uncorrected_kj_per_mol_atoms": -10.1}

---

[8]
{"formula": "CaPr2Tm3", "functional": "PBE", "state": "relaxed", "lattice": [[6.6828, 0.0000, 0.0000], [-3.3414, 5.7874, 0.0000], [0.0000, 0.0000, 10.9902]], "species": ["Ca", "Ca", "Pr", "Pr", "Pr", "Pr", "Tm", "Tm", "Tm", "Tm", "Tm", "Tm"], "fractional_positions": [[0.3333, 0.6667, 0.4368], [0.6667, 0.3333, 0.5632], [0.0000, 0.0000, 0.0000], [0.0000, 0.0000, 0.5000], [0.3333, 0.6667, 0.0768], [0.6667, 0.3333, 0.9232], [0.1678, 0.3357, 0.7570], [0.1678, 0.8322, 0.7570], [0.3357, 0.1678, 0.2430], [0.6643, 0.8322, 0.7570], [0.8322, 0.1678, 0.2430], [0.8322, 0.6643, 0.2430]], "energy_ev_per_atom": -3.939}